Version A
Compound: LaTbGe
Source: Alexandria
Functional: GGA-PBE
Structure: relaxed

Its total magnetization is 0.0 μB per formula unit.

The structure belongs to space group P4_12_12 (No. 92); the cell edges are 7.1253, 7.1253 and 8.1811 Å and the angles 90.00°, 90.00° and 90.00°. The asymmetric unit holds La at (0.2196, 0.2196, 0.0000), Tb at (0.1983, 0.1983, 0.5000) and Ge at (0.0222, 0.9778, 0.7500).

---

Version B
Compound: LaTbGe
Source: Alexandria
Functional: GGA-PBE
Structure: relaxed

Its total magnetization is 0.0 μB per formula unit.

The structure belongs to space group I4mm (No. 107); the cell edges are 3.9706, 3.9706 and 10.1162 Å and the angles 90.00°, 90.00° and 90.00°. The asymmetric unit holds La at (0.0000, 0.0000, 0.0000), Tb at (0.0000, 0.0000, 0.2909) and Ge at (0.0000, 0.0000, 0.6659).

---

What should be chosen as the least stable of them? Choose version A.

---

Version A
Compound: La2TbGe2
Source: Alexandria
Functional: GGA-PBE
Structure: relaxed

Its total magnetization is 0.0 μB per formula unit.

The structure belongs to space group C2/m (No. 12); the cell edges are 12.7184, 4.4993 and 11.0755 Å and the angles 90.00°, 116.78° and 90.00°. The asymmetric unit holds La at (0.0146, 0.0000, 0.1869), La at (0.1792, 0.0000, 0.5891), Tb at (0.2233, 0.5000, 0.8653), Ge at (0.0124, 0.5000, 0.3900) and Ge at (0.1163, 0.5000, 0.0591).

---

Version B
Compound: La2TbGe2
Source: Alexandria
Functional: GGA-PBE
Structure: relaxed

Its total magnetization is 0.0 μB per formula unit.

The structure belongs to space group P4/mbm (No. 127); the cell edges are 7.8251, 7.8251 and 4.5337 Å and the angles 90.00°, 90.00° and 90.00°. The asymmetric unit holds La at (0.1751, 0.3249, 0.0000), Tb at (0.0000, 0.0000, 0.5000) and Ge at (0.1211, 0.6211, 0.5000).

---

What should be chosen as the least stable of them? Choose version A.

---

Version A
Compound: LaTbZnGe
Source: Alexandria
Functional: GGA-PBE
Structure: relaxed

Its total magnetization is 0.0 μB per formula unit.

The structure belongs to space group F-43m (No. 216); the cell edges are 7.3139, 7.3139 and 7.3139 Å and the angles 90.00°, 90.00° and 90.00°. The asymmetric unit holds La at (0.0000, 0.0000, 0.0000), Tb at (0.0000, 0.0000, 0.5000), Zn at (0.2500, 0.2500, 0.2500) and Ge at (0.2500, 0.2500, 0.7500).

---

Version B
Compound: LaTbZnGe
Source: Alexandria
Functional: GGA-PBE
Structure: relaxed

Its total magnetization is 0.0 μB per formula unit.

The structure belongs to space group Amm2 (No. 38); the cell edges are 4.1608, 4.2939 and 11.4100 Å and the angles 90.00°, 90.00° and 90.00°. The asymmetric unit holds La at (0.0000, 0.0000, 0.0000), Tb at (0.5000, 0.0000, 0.2840), Zn at (0.5000, 0.0000, 0.5803) and Ge at (0.0000, 0.0000, 0.7230).

---

What should be chosen as the least stable of them? Choose version A.

---

Version A
Compound: LaTcGe
Source: Alexandria
Functional: GGA-PBE
Structure: relaxed

Its total magnetization is 0.4 μB per formula unit.

The structure belongs to space group P4/nmm (No. 129, origin choice 2); the cell edges are 4.1568, 4.1568 and 8.0840 Å and the angles 90.00°, 90.00° and 90.00°. The asymmetric unit holds La at (0.2500, 0.2500, 0.2196), Tc at (0.2500, 0.2500, 0.5446) and Ge at (0.2500, 0.2500, 0.8478).

---

Version B
Compound: LaTcGe
Source: Alexandria
Functional: GGA-PBE
Structure: relaxed

Its total magnetization is 0.0 μB per formula unit.

The structure belongs to space group P-6m2 (No. 187); the cell edges are 4.3245, 4.3245 and 4.2314 Å and the angles 90.00°, 90.00° and 120.00°. The asymmetric unit holds La at (0.0000, 0.0000, 0.0000), Tc at (0.6667, 0.3333, 0.5000) and Ge at (0.3333, 0.6667, 0.5000).

---

Version C
Compound: LaTcGe
Source: Alexandria
Functional: GGA-PBE
Structure: relaxed

Its total magnetization is 0.0 μB per formula unit.

The structure belongs to space group C2/m (No. 12); the cell edges are 5.9455, 5.9529 and 7.5988 Å and the angles 90.00°, 92.53° and 90.00°. The asymmetric unit holds La at (0.2474, 0.0000, 0.3308), Tc at (0.0000, 0.2109, 0.0000) and Ge at (0.2284, 0.5000, 0.2022).

---

What should be chosen as the least stable of them? Choose version A.

---

Version A
Compound: LaTcGe2
Source: Alexandria
Functional: GGA-PBE
Structure: relaxed

Its total magnetization is 0.0 μB per formula unit.

The structure belongs to space group I-42d (No. 122); the cell edges are 4.9929, 4.9929 and 16.2587 Å and the angles 90.00°, 90.00° and 90.00°. The asymmetric unit holds La at (0.0000, 0.0000, 0.0000), Tc at (0.0000, 0.0000, 0.5000) and Ge at (0.0612, 0.2500, 0.6250).

---

Version B
Compound: LaTcGe2
Source: Alexandria
Functional: GGA-PBE
Structure: relaxed

Its total magnetization is 0.0 μB per formula unit.

The structure belongs to space group C2/c (No. 15); the cell edges are 6.2818, 10.8416 and 5.8321 Å and the angles 90.00°, 121.43° and 90.00°. The asymmetric unit holds La at (0.0000, 0.1230, 0.2500), Tc at (0.0000, 0.2155, 0.7500) and Ge at (0.0960, 0.3900, 0.0744).

---

What should be chosen as the least stable of them? Choose version A.

---

Version A
Compound: LaTcGe2
Source: Alexandria
Functional: GGA-PBE
Structure: relaxed

Its total magnetization is 0.0 μB per formula unit.

The structure belongs to space group P4/mmm (No. 123); the cell edges are 3.2571, 3.2571 and 7.2199 Å and the angles 90.00°, 90.00° and 90.00°. The asymmetric unit holds La at (0.0000, 0.0000, 0.0000), Tc at (0.0000, 0.0000, 0.5000) and Ge at (0.5000, 0.5000, 0.3084).

---

Version B
Compound: LaTcGe2
Source: Alexandria
Functional: GGA-PBE
Structure: relaxed

Its total magnetization is 0.0 μB per formula unit.

The structure belongs to space group Pnma (No. 62); the cell edges are 7.3394, 4.3528 and 10.5864 Å and the angles 90.00°, 90.00° and 90.00°. The asymmetric unit holds La at (0.1639, 0.2500, 0.1287), Tc at (0.0197, 0.7500, 0.3922), Ge at (0.1422, 0.2500, 0.8114) and Ge at (0.1907, 0.2500, 0.4271).

---

Version C
Compound: LaTcGe2
Source: Alexandria
Functional: GGA-PBE
Structure: relaxed

Its total magnetization is 0.0 μB per formula unit.

The structure belongs to space group Fm-3m (No. 225); the cell edges are 6.7603, 6.7603 and 6.7603 Å and the angles 90.00°, 90.00° and 90.00°. The asymmetric unit holds La at (0.0000, 0.0000, 0.0000), Tc at (0.0000, 0.0000, 0.5000) and Ge at (0.2500, 0.2500, 0.2500).

---

Version D
Compound: LaTcGe2
Source: Alexandria
Functional: GGA-PBE
Structure: relaxed

Its total magnetization is 0.0 μB per formula unit.

The structure belongs to space group R-3m (No. 166, hexagonal axes); the cell edges are 4.2995, 4.2995 and 15.7613 Å and the angles 90.00°, 90.00° and 120.00°. The asymmetric unit holds La at (0.0000, 0.0000, 0.0000), Tc at (0.0000, 0.0000, 0.5000) and Ge at (0.0000, 0.0000, 0.2150).

---

What should be chosen as the least stable of them? Choose version C.

---

Version A
Compound: LaTc2Ge2
Source: Alexandria
Functional: GGA-PBE
Structure: relaxed

Its total magnetization is 0.0 μB per formula unit.

The structure belongs to space group Imma (No. 74); the cell edges are 4.2150, 4.2594 and 21.8365 Å and the angles 90.00°, 90.00° and 90.00°. The asymmetric unit holds La at (0.0000, 0.2500, 0.1602), Tc at (0.0000, 0.2500, 0.4645), Tc at (0.0000, 0.2500, 0.9661), Ge at (0.0000, 0.2500, 0.6017) and Ge at (0.0000, 0.2500, 0.7201).

---

Version B
Compound: LaTc2Ge2
Source: Alexandria
Functional: GGA-PBE
Structure: relaxed

Its total magnetization is 0.0 μB per formula unit.

The structure belongs to space group I4/mmm (No. 139); the cell edges are 4.2330, 4.2330 and 10.8414 Å and the angles 90.00°, 90.00° and 90.00°. The asymmetric unit holds La at (0.0000, 0.0000, 0.0000), Tc at (0.0000, 0.5000, 0.2500) and Ge at (0.0000, 0.0000, 0.3747).

---

Version C
Compound: LaTc2Ge2
Source: Alexandria
Functional: GGA-PBE
Structure: relaxed

Its total magnetization is 0.0 μB per formula unit.

The structure belongs to space group I4/mmm (No. 139); the cell edges are 4.5728, 4.5728 and 9.4861 Å and the angles 90.00°, 90.00° and 90.00°. The asymmetric unit holds La at (0.0000, 0.0000, 0.0000), Tc at (0.0000, 0.0000, 0.3801) and Ge at (0.0000, 0.5000, 0.2500).

---

What should be chosen as the least stable of them? Choose version C.

---

Version A
Compound: La2Ge2Te
Source: Alexandria
Functional: GGA-PBE
Structure: relaxed

Its total magnetization is 0.0 μB per formula unit.

The structure belongs to space group C2/m (No. 12); the cell edges are 7.6323, 4.4931 and 8.6230 Å and the angles 90.00°, 106.75° and 90.00°. The asymmetric unit holds La at (0.0827, 0.0000, 0.2479), Ge at (0.1730, 0.5000, 0.0152) and Te at (0.0000, 0.5000, 0.5000).

---

Version B
Compound: La2Ge2Te
Source: Alexandria
Functional: GGA-PBE
Structure: relaxed

Its total magnetization is 0.0 μB per formula unit.

The structure belongs to space group P4/mbm (No. 127); the cell edges are 8.2011, 8.2011 and 4.1426 Å and the angles 90.00°, 90.00° and 90.00°. The asymmetric unit holds La at (0.1901, 0.3099, 0.0000), Ge at (0.1044, 0.6044, 0.5000) and Te at (0.0000, 0.0000, 0.5000).

---

What should be chosen as the least stable of them? Choose version B.